Rb3MnIr: optimized geometry, GGA-PBE.

Output
Energy of formation from the pure elements = 1.19 eV per atom

a b c (Å): 6.392 6.392 6.392
angles (deg): 90.00 90.00 90.00
Atoms (fractional coordinates):
Rb (0.000, 0.000, 0.500)
Rb (0.000, 0.500, 0.000)
Rb (0.500, 0.000, 0.000)
Mn (0.500, 0.500, 0.500)
Ir (0.000, 0.000, 0.000)

---

RbMn2Ir: optimized geometry, GGA-PBE.

Output
Energy of formation from the pure elements = 1.73 eV per atom
ΔE to the lowest computed polymorph = 305 meV/atom

a b c (Å): 4.466 4.466 4.466
angles (deg): 60.00 60.00 60.00
Atoms (fractional coordinates):
Rb (0.000, 0.000, 0.000)
Mn (0.250, 0.250, 0.250)
Mn (0.750, 0.750, 0.750)
Ir (0.500, 0.500, 0.500)

---

Rb2MnIr: optimized geometry, GGA-PBE.

Output
Energy of formation from the pure elements = 1.44 eV per atom
ΔE to the lowest computed polymorph = 577 meV/atom

a b c (Å): 5.701 5.701 5.701
angles (deg): 60.00 60.00 60.00
Atoms (fractional coordinates):
Rb (0.250, 0.250, 0.250)
Rb (0.750, 0.750, 0.750)
Mn (0.000, 0.000, 0.000)
Ir (0.500, 0.500, 0.500)

---

Rb2MnIrRu: optimized geometry, GGA-PBE.

Output
Energy of formation from the pure elements = 1.79 eV per atom

a b c (Å): 6.529 6.529 4.512
angles (deg): 90.00 90.00 90.00
Atoms (fractional coordinates):
Rb (0.000, 0.500, 0.000)
Rb (0.500, 0.000, 0.000)
Mn (0.000, 0.000, 0.000)
Ir (0.000, 0.000, 0.500)
Ru (0.500, 0.500, 0.500)

---

What is the formula in the third record?
Rb2MnIr

---

The highest energy of formation from the pure elements belongs to which entry?
Rb2MnIrRu

---

Among the records above, which one has the highest energy of formation from the pure elements?
Rb2MnIrRu